Record 1
First-principles (PBE-GGA) data for Ta3Os2Rh after structural relaxation, as listed in the Alexandria database.

a b c (Å): 6.751 6.751 7.124
angles (deg): 90.00 90.00 143.07
Element x y z (fractional)
Ta 0.834 0.166 0.743
Os 0.000 0.000 0.500
Rh 0.672 0.328 0.000
Os 0.000 0.000 0.000
Rh 0.328 0.672 0.000
Ta 0.500 0.500 0.251
Os 0.666 0.334 0.500
Ta 0.500 0.500 0.749
Ta 0.166 0.834 0.257
Ta 0.834 0.166 0.257
Ta 0.166 0.834 0.743
Os 0.334 0.666 0.500

Values from the calculation:
As for the formation energy: -180.6 kJ/mol of formula units. As for the crystal system: orthorhombic. The volume comes out at 195.1 Å³ per cell. The mass density comes out at 17.47 Mg/m³.

---

Record 2
First-principles (PBE-GGA) data for TaOsRh2 after structural relaxation, as listed in the Alexandria database.

a b c (Å): 9.168 9.168 9.168
angles (deg): 17.45 17.45 17.45
Element x y z (fractional)
Rh 0.748 0.748 0.748
Ta 0.500 0.500 0.500
Rh 0.252 0.252 0.252
Os 0.000 0.000 0.000

Values from the calculation:
As for the polymorph energy (0 for the lowest one): 366.0 meV/atom. As for the formation energy: -23.4 kJ/mol of formula units. As for the crystal system: trigonal. The volume comes out at 60.5 Å³ per cell. The mass density comes out at 15.85 Mg/m³.